First-principles (PBE+U) data for TlSnMoF6 after structural relaxation, as listed in Alexandria via LeMat-Bulk.

Summary:
Calculated total energy   -90.405 eV per cell
Density of states at the Fermi level   0.000 states/eV/atom

a b c (Å): 7.7956 7.9402 7.8553
angles (deg): 120.36 119.75 90.00
Last column: magnetic moment on the atom in μB.
Fractional coordinates of all 18 atoms:
F 0.4416 0.1540 0.2633  0.02
F 0.8680 0.1180 0.7360  0.00
F 0.1782 0.8460 0.7367  0.02
F 0.4376 0.1876 0.8751  0.02
F 0.8218 0.1540 0.2633  0.02
F 0.1782 0.3907 0.7367  0.02
F 0.5624 0.8124 0.1249  0.02
F 0.5584 0.8460 0.7367  0.02
F 0.5584 0.3907 0.7367  0.02
F 0.4416 0.6093 0.2633  0.02
F 0.1320 0.8820 0.2640  0.00
F 0.8218 0.6093 0.2633  0.02
Sn 0.0000 0.0000 0.5000  0.01
Sn 0.5000 0.0000 0.5000  0.01
Mo 0.5000 0.5000 0.0000  2.77
Mo 0.5000 0.0000 0.0000  2.77
Tl 0.8657 0.6157 0.7314  0.00
Tl 0.1343 0.3843 0.2686  0.00